{
  "formula": "Ac2AlSi3Ir4",
  "functional": "PBE-GGA",
  "state": "relaxed",
  "formation_energy_uncorrected_ev_per_atom": -0.922,
  "vol_a3_per_atom": 18.80,
  "cell": [[4.2522, 0.0000, 0.0000], [0.0000, 4.2522, 0.0000], [0.0000, 0.0000, 10.3953]],
  "species": ["Ac", "Ac", "Al", "Si", "Si", "Si", "Ir", "Ir", "Ir", "Ir"],
  "fractional_positions": [[0.0000, 0.5000, 0.2471], [0.5000, 0.0000, 0.7529], [0.5000, 0.5000, 0.0000], [0.0000, 0.0000, 0.0000], [0.0000, 0.5000, 0.6230], [0.5000, 0.0000, 0.3770], [0.0000, 0.0000, 0.5000], [0.0000, 0.5000, 0.8677], [0.5000, 0.0000, 0.1323], [0.5000, 0.5000, 0.5000]]
}